Ca2AcPm: optimized geometry, PBE-GGA.

As for the crystal system: trigonal. Its offset from the most stable computed form is 48 meV per atom. The energy relative to the elements is 0.31 eV per formula unit.

The structure belongs to space group R3m (No. 160, hexagonal axes); the cell edges are 3.8282, 3.8282 and 37.8504 Å and the angles 90.00°, 90.00° and 120.00°. Symmetry generates all atoms from Ca at (0.0000, 0.0000, 0.0000), Ca at (0.0000, 0.0000, 0.1608), Ac at (0.0000, 0.0000, 0.5803) and Pm at (0.0000, 0.0000, 0.4140).

=====

Ca2LaCd9: optimized geometry, PBE-GGA.

As for the crystal system: trigonal. The energy relative to the elements is -3.27 eV per formula unit.

The structure belongs to space group R-3m (No. 166, hexagonal axes); the cell edges are 6.0425, 6.0425 and 28.7714 Å and the angles 90.00°, 90.00° and 120.00°. Symmetry generates all atoms from Ca at (0.0000, 0.0000, 0.1428), La at (0.0000, 0.0000, 0.0000), Cd at (0.0000, 0.0000, 0.3353), Cd at (0.0000, 0.0000, 0.5000) and Cd at (0.0083, 0.5042, 0.9153).

=====

In5Pt11: optimized geometry, PBE-GGA.

As for the crystal system: monoclinic. The energy relative to the elements is -6.55 eV per formula unit.

The structure belongs to space group P2/m (No. 10); the cell edges are 5.734, 4.120 and 11.489 Å and the angles 90.00°, 92.01° and 90.00°. Symmetry generates all atoms from In at (0.000, 0.000, 0.000), In at (0.242, 0.500, 0.374), In at (0.287, 0.500, 0.861), Pt at (0.000, 0.000, 0.500), Pt at (0.017, 0.000, 0.752), Pt at (0.225, 0.500, 0.117), Pt at (0.254, 0.500, 0.620), Pt at (0.479, 0.000, 0.253), Pt at (0.500, 0.000, 0.000) and Pt at (0.500, 0.000, 0.500).

=====

BaOs3F: optimized geometry, PBE-GGA.

As for the crystal system: cubic. Its offset from the most stable computed form is 0 meV per atom. The formation energy without anion corrections is 1792 meV per atom.

The structure belongs to space group Pm-3m (No. 221); the cell edges are 4.538, 4.538 and 4.538 Å and the angles 90.00°, 90.00° and 90.00°. Symmetry generates all atoms from Ba at (0.000, 0.000, 0.000), Os at (0.000, 0.500, 0.500) and F at (0.500, 0.500, 0.500).

=====

HgNF2: optimized geometry, PBE-GGA.

As for the crystal system: triclinic. Its offset from the most stable computed form is 0 meV per atom. The formation energy without anion corrections is 268 meV per atom.

The structure belongs to space group P1 (No. 1); the cell edges are 3.711, 6.428 and 7.052 Å and the angles 107.64°, 90.12° and 90.02°. Symmetry generates all atoms from Hg at (0.000, 0.000, 0.000), Hg at (0.500, 0.500, 0.000), N at (0.498, 0.000, 0.499), N at (0.998, 0.500, 0.501), F at (0.000, 0.284, 0.852), F at (0.001, 0.716, 0.148), F at (0.500, 0.784, 0.852) and F at (0.501, 0.216, 0.148).

=====

AcHoSe3: optimized geometry, PBE-GGA.

As for the crystal system: monoclinic. Its offset from the most stable computed form is 6 meV per atom. The formation energy without anion corrections is -1953 meV per atom.

The structure belongs to space group P2_1/m (No. 11); the cell edges are 8.323, 4.246 and 8.509 Å and the angles 90.00°, 95.62° and 90.00°. Symmetry generates all atoms from Ac at (0.127, 0.250, 0.275), Ho at (0.351, 0.750, 0.835), Se at (0.130, 0.250, 0.891), Se at (0.194, 0.750, 0.535) and Se at (0.412, 0.750, 0.178).

=====

V5GaRu6: optimized geometry, PBE-GGA.

As for the crystal system: orthorhombic. The energy relative to the elements is -3.84 eV per formula unit.

The structure belongs to space group Cmmm (No. 65); the cell edges are 4.246, 12.836 and 6.006 Å and the angles 90.00°, 90.00° and 90.00°. Symmetry generates all atoms from V at (0.000, 0.000, 0.000), V at (0.000, 0.330, 0.000), V at (0.000, 0.333, 0.500), Ga at (0.000, 0.000, 0.500), Ru at (0.000, 0.165, 0.251) and Ru at (0.000, 0.500, 0.249).

=====

CuSb2P: optimized geometry, PBE-GGA.

As for the crystal system: tetragonal. The formation energy without anion corrections is 449 meV per atom.

The structure belongs to space group I-4m2 (No. 119); the cell edges are 3.905, 3.905 and 11.125 Å and the angles 90.00°, 90.00° and 90.00°. Symmetry generates all atoms from Cu at (0.000, 0.000, 0.000), Sb at (0.000, 0.000, 0.500), Sb at (0.000, 0.500, 0.250) and P at (0.000, 0.500, 0.750).